No. 1
# TlGeIBr2

A relaxed TlGeIBr2 crystal (GGA-PBE, Alexandria via LeMat-Bulk).

Calculated values
The formation energy (no corrections) is -2.79 eV per formula unit. For the energy above the lowest structure with this stoichiometry, the calculation gives 27 meV/atom. The space-group type is P4/mmm, No. 123.

Cell lengths 5.4974, 5.4974, 5.9484 Å; angles 90.00, 90.00, 90.00 degrees
With the nearest neighbours (Å) after each atom.
Fractional positions:
Tl 0.0000 0.0000 0.0000  4 I 3.89, 8 Br 4.05
Ge 0.5000 0.5000 0.5000  4 Br 2.75, 2 I 2.97
I 0.5000 0.5000 0.0000  2 Ge 2.97
Br 0.0000 0.5000 0.5000  2 Ge 2.75
Br 0.5000 0.0000 0.5000  2 Ge 2.75


No. 2
# NiSeI

A relaxed NiSeI crystal (GGA-PBE, Alexandria via LeMat-Bulk).

Calculated values
The formation energy (no corrections) is -0.18 eV per formula unit. The space-group type is P3m1, No. 156.

Cell lengths 3.7323, 3.7323, 5.5545 Å; angles 90.00, 90.00, 120.00 degrees
With the nearest neighbours (Å) after each atom.
Fractional positions:
Ni 0.0000 0.0000 0.0000  3 Se 2.45, 3 I 2.68
Se 0.6667 0.3333 0.2095  3 Ni 2.45
I 0.3333 0.6667 0.7141  3 Ni 2.68


No. 3
# LiLaRe2Pt

A relaxed LiLaRe2Pt crystal (GGA-PBE, Alexandria via LeMat-Bulk).

Calculated values
The total DFT energy (no corrections) is -6.730 eV/atom. The space-group type is P4/mmm, No. 123.

Cell lengths 4.4115, 4.4115, 4.4992 Å; angles 90.00, 90.00, 90.00 degrees
With the nearest neighbours (Å) after each atom.
Fractional positions:
Li 0.0000 0.0000 0.0000  4 Re 2.21, 2 Pt 2.25
La 0.5000 0.5000 0.5000  4 Pt 3.12, 8 Re 3.15
Re 0.0000 0.5000 0.0000  2 Li 2.21
Re 0.5000 0.0000 0.0000  2 Li 2.21
Pt 0.0000 0.0000 0.5000  2 Li 2.25


No. 4
# BaSbPt3

A relaxed BaSbPt3 crystal (GGA-PBE, Alexandria via LeMat-Bulk).

Calculated values
The formation energy (no corrections) is -1.59 eV per formula unit. For the energy above the lowest structure with this stoichiometry, the calculation gives 147 meV/atom. The space-group type is Cmmm, No. 65.

Cell lengths 5.1707, 5.1707, 5.1650 Å; angles 90.00, 90.00, 108.62 degrees
With the nearest neighbours (Å) after each atom.
Fractional positions:
Ba 0.0000 0.0000 0.0000  2 Pt 3.02
Sb 0.5000 0.5000 0.5000  6 Pt 2.58-2.59
Pt 0.0000 0.5000 0.5000  2 Sb 2.59
Pt 0.5000 0.0000 0.5000  2 Sb 2.59
Pt 0.5000 0.5000 0.0000  2 Sb 2.58


No. 5
# Ho6CuIr5

A relaxed Ho6CuIr5 crystal (GGA-PBE, Alexandria via LeMat-Bulk).

Calculated values
The total DFT energy (no corrections) is -7.104 eV/atom. The space-group type is C2/m, No. 12.

Cell lengths 8.4135, 8.4135, 4.8673 Å; angles 106.79, 106.79, 120.83 degrees
With the nearest neighbours (Å) after each atom.
Fractional positions:
Ho 0.0810 0.4170 0.7490  7 Ir 2.95-2.98, 1 Cu 2.98
Ho 0.2474 0.2474 0.2471  6 Ir 2.95-2.96, 2 Cu 2.97
Ho 0.4170 0.0810 0.7490  7 Ir 2.95-2.98, 1 Cu 2.98
Ho 0.5830 0.9190 0.2510  7 Ir 2.95-2.98, 1 Cu 2.98
Ho 0.7526 0.7526 0.7529  6 Ir 2.95-2.96, 2 Cu 2.97
Ho 0.9190 0.5830 0.2510  7 Ir 2.95-2.98, 1 Cu 2.98
Cu 0.5000 0.5000 0.0000  8 Ho 2.97-2.98
Ir 0.0000 0.0000 0.5000  8 Ho 2.95-2.98
Ir 0.1664 0.8336 0.0000  8 Ho 2.95-2.96
Ir 0.3347 0.6653 0.5000  8 Ho 2.96-2.97
Ir 0.6653 0.3347 0.5000  8 Ho 2.96-2.97
Ir 0.8336 0.1664 0.0000  8 Ho 2.95-2.96


No. 6
# K2Cu2Te2Se

A relaxed K2Cu2Te2Se crystal (GGA-PBE, Alexandria via LeMat-Bulk).

Calculated values
The formation energy (no corrections) is -3.62 eV per formula unit. The space-group type is P-1, No. 2.

Cell lengths 4.7382, 6.3219, 7.1328 Å; angles 87.20, 73.32, 68.80 degrees
With the nearest neighbours (Å) after each atom.
Fractional positions:
K 0.2287 0.1699 0.3390  2 Se 3.22, 1 Cu 3.47, 2 Te 3.58-3.60
K 0.7713 0.8301 0.6610  2 Se 3.22, 1 Cu 3.47, 2 Te 3.58-3.60
Cu 0.4136 0.4437 0.8509  1 Se 2.45, 2 Te 2.63-2.70, 1 Cu 2.70
Cu 0.5864 0.5563 0.1491  1 Se 2.45, 2 Te 2.63-2.70, 1 Cu 2.70
Te 0.0094 0.7825 0.1021  3 Cu 2.63-2.80
Te 0.9906 0.2175 0.8979  3 Cu 2.63-2.80
Se 0.5000 0.5000 0.5000  2 Cu 2.45